# 1
! RbAl2Co2 PBE relaxed; values from VASP
! Space-group type: No. 139
! Offset from the most stable computed form: 0.00 eV per formula unit
! Energy: -4.26 eV per atom
! ΔE_f: 270 meV/atom
&SYSTEM
  ibrav = 0, nat = 5, ntyp = 3
/
ATOMIC_SPECIES
Rb 85.47 Rb.upf
Al 26.98 Al.upf
Co 58.93 Co.upf
ATOMIC_POSITIONS crystal
Rb 0.000 0.000 0.000
Al 0.315 0.315 0.000
Al 0.685 0.685 0.000
Co 0.250 0.750 0.500
Co 0.750 0.250 0.500
CELL_PARAMETERS angstrom
-2.153 2.153 6.342
2.153 -2.153 6.342
2.153 2.153 -6.342


# 2
! NaGa2Sn PBE relaxed; values from VASP
! Space-group type: No. 123
! Energy: -2.88 eV per atom
! ΔE_f: -32 meV/atom
&SYSTEM
  ibrav = 0, nat = 4, ntyp = 3
/
ATOMIC_SPECIES
Na 22.99 Na.upf
Ga 69.72 Ga.upf
Sn 118.71 Sn.upf
ATOMIC_POSITIONS crystal
Na 0.000 0.000 0.000
Ga 0.500 0.500 0.281
Ga 0.500 0.500 0.719
Sn 0.000 0.000 0.500
CELL_PARAMETERS angstrom
3.703 0.000 0.000
0.000 3.703 0.000
0.000 0.000 6.952


# 3
! V2NiB2 PBE relaxed; values from VASP
! Space-group type: No. 63
! Offset from the most stable computed form: 2.23 eV per formula unit
! Energy: -7.64 eV per atom
! ΔE_f: -162 meV/atom
&SYSTEM
  ibrav = 0, nat = 10, ntyp = 3
/
ATOMIC_SPECIES
V 50.94 V.upf
Ni 58.69 Ni.upf
B 10.81 B.upf
ATOMIC_POSITIONS crystal
V 0.084 0.916 0.750
V 0.289 0.711 0.250
V 0.711 0.289 0.750
V 0.916 0.084 0.250
Ni 0.500 0.500 0.000
Ni 0.500 0.500 0.500
B 0.097 0.325 0.750
B 0.325 0.097 0.250
B 0.675 0.903 0.750
B 0.903 0.675 0.250
CELL_PARAMETERS angstrom
2.171 -5.599 0.000
2.171 5.599 0.000
0.000 0.000 4.181


# 4
! CoSbOs2 PBE relaxed; values from VASP
! Space-group type: No. 119
! Offset from the most stable computed form: 0.01 eV per formula unit
! Energy: -7.98 eV per atom
! Raw formation energy: 0.446 eV per atom
&SYSTEM
  ibrav = 0, nat = 4, ntyp = 3
/
ATOMIC_SPECIES
Co 58.93 Co.upf
Sb 121.76 Sb.upf
Os 190.23 Os.upf
ATOMIC_POSITIONS crystal
Co 0.000 0.000 0.000
Sb 0.250 0.750 0.500
Os 0.500 0.500 0.000
Os 0.750 0.250 0.500
CELL_PARAMETERS angstrom
-1.961 1.961 3.836
1.961 -1.961 3.836
1.961 1.961 -3.836


# 5
! Cs2Tl10In PBE relaxed; values from VASP
! Space-group type: No. 55
! Energy: -2.16 eV per atom
! ΔE_f: -1 meV/atom
&SYSTEM
  ibrav = 0, nat = 26, ntyp = 3
/
ATOMIC_SPECIES
Cs 132.91 Cs.upf
Tl 204.38 Tl.upf
In 114.82 In.upf
ATOMIC_POSITIONS crystal
Cs 0.241 0.064 0.000
Cs 0.259 0.564 0.000
Cs 0.741 0.436 0.000
Cs 0.759 0.936 0.000
Tl 0.042 0.122 0.500
Tl 0.073 0.315 0.232
Tl 0.073 0.315 0.768
Tl 0.178 0.699 0.500
Tl 0.233 0.937 0.500
Tl 0.267 0.437 0.500
Tl 0.322 0.199 0.500
Tl 0.427 0.815 0.232
Tl 0.427 0.815 0.768
Tl 0.458 0.622 0.500
Tl 0.542 0.378 0.500
Tl 0.573 0.185 0.232
Tl 0.573 0.185 0.768
Tl 0.678 0.801 0.500
Tl 0.733 0.563 0.500
Tl 0.767 0.063 0.500
Tl 0.822 0.301 0.500
Tl 0.927 0.685 0.232
Tl 0.927 0.685 0.768
Tl 0.958 0.878 0.500
In 0.000 0.500 0.500
In 0.500 0.000 0.500
CELL_PARAMETERS angstrom
11.246 0.000 0.000
0.000 13.186 0.000
0.000 0.000 7.400


# 6
! Tb2Dy PBE relaxed; values from VASP
! Space-group type: No. 12
! Offset from the most stable computed form: 0.01 eV per formula unit
! Energy: -4.61 eV per atom
! ΔE_f: 15 meV/atom
&SYSTEM
  ibrav = 0, nat = 6, ntyp = 2
/
ATOMIC_SPECIES
Tb 158.93 Tb.upf
Dy 162.50 Dy.upf
ATOMIC_POSITIONS crystal
Tb 0.000 0.000 0.250
Tb 0.000 0.000 0.750
Tb 0.333 0.333 0.917
Tb 0.667 0.667 0.083
Dy 0.333 0.333 0.417
Dy 0.667 0.667 0.583
CELL_PARAMETERS angstrom
5.610 -2.506 0.000
5.610 2.506 0.000
-2.245 0.000 6.731


# 7
! ZrTi2Rh PBE relaxed; values from VASP
! Space-group type: No. 225
! Offset from the most stable computed form: 0.56 eV per formula unit
! Energy: -8.20 eV per atom
! ΔE_f: -273 meV/atom
&SYSTEM
  ibrav = 0, nat = 4, ntyp = 3
/
ATOMIC_SPECIES
Zr 91.22 Zr.upf
Ti 47.87 Ti.upf
Rh 102.91 Rh.upf
ATOMIC_POSITIONS crystal
Zr 0.000 0.000 0.000
Ti 0.250 0.250 0.250
Ti 0.750 0.750 0.750
Rh 0.500 0.500 0.500
CELL_PARAMETERS angstrom
0.000 3.224 3.224
3.224 0.000 3.224
3.224 3.224 0.000


# 8
! Te2IrS PBE relaxed; values from VASP
! Space-group type: No. 122
! Energy: -4.56 eV per atom
! Raw formation energy: 0.256 eV per atom
&SYSTEM
  ibrav = 0, nat = 8, ntyp = 3
/
ATOMIC_SPECIES
Te 127.60 Te.upf
Ir 192.22 Ir.upf
S 32.06 S.upf
ATOMIC_POSITIONS crystal
Te 0.082 0.625 0.957
Te 0.375 0.332 0.457
Te 0.668 0.125 0.043
Te 0.875 0.918 0.543
Ir 0.000 0.000 0.000
Ir 0.750 0.250 0.500
S 0.250 0.750 0.500
S 0.500 0.500 0.000
CELL_PARAMETERS angstrom
-3.182 3.182 5.829
3.182 -3.182 5.829
3.182 3.182 -5.829


# 9
! Tb3Nd6DyY2 PBE relaxed; values from VASP
! Space-group type: No. 12
! Energy: -4.99 eV per atom
! ΔE_f: 10 meV/atom
&SYSTEM
  ibrav = 0, nat = 12, ntyp = 4
/
ATOMIC_SPECIES
Tb 158.93 Tb.upf
Nd 144.24 Nd.upf
Dy 162.50 Dy.upf
Y 88.91 Y.upf
ATOMIC_POSITIONS crystal
Tb 0.000 0.000 0.000
Tb 0.333 0.667 0.000
Tb 0.667 0.333 0.000
Nd 0.084 0.416 0.250
Nd 0.251 0.251 0.750
Nd 0.416 0.084 0.250
Nd 0.584 0.916 0.750
Nd 0.749 0.749 0.250
Nd 0.916 0.584 0.750
Dy 0.500 0.500 0.500
Y 0.167 0.833 0.500
Y 0.833 0.167 0.500
CELL_PARAMETERS angstrom
3.146 -5.448 0.000
3.146 5.448 0.000
-2.090 0.000 11.721


# 10
! Tm2SiHPd6 PBE relaxed; values from VASP
! Space-group type: No. 12
! Energy: -5.66 eV per atom
&SYSTEM
  ibrav = 0, nat = 10, ntyp = 4
/
ATOMIC_SPECIES
Tm 168.93 Tm.upf
Si 28.09 Si.upf
H 1.01 H.upf
Pd 106.42 Pd.upf
ATOMIC_POSITIONS crystal
Tm 0.221 0.221 0.166
Tm 0.779 0.779 0.834
Si 0.500 0.500 0.000
H 0.000 0.000 0.500
Pd 0.233 0.233 0.697
Pd 0.234 0.735 0.700
Pd 0.265 0.766 0.300
Pd 0.735 0.234 0.700
Pd 0.766 0.265 0.300
Pd 0.767 0.767 0.303
CELL_PARAMETERS angstrom
4.900 -2.823 0.000
4.900 2.823 0.000
-3.307 0.000 5.842


# 11
! Cr2CoSe4 PBE relaxed; values from VASP
! Space-group type: No. 12
! Offset from the most stable computed form: 0.00 eV per formula unit
! Energy: -6.17 eV per atom
! Raw formation energy: -0.413 eV per atom
&SYSTEM
  ibrav = 0, nat = 7, ntyp = 3
/
ATOMIC_SPECIES
Cr 52.00 Cr.upf
Co 58.93 Co.upf
Se 78.96 Se.upf
ATOMIC_POSITIONS crystal
Cr 0.241 0.241 0.220
Cr 0.759 0.759 0.780
Co 0.500 0.500 0.500
Se 0.128 0.128 0.471
Se 0.385 0.385 0.055
Se 0.615 0.615 0.945
Se 0.872 0.872 0.529
CELL_PARAMETERS angstrom
6.303 -1.833 0.000
6.303 1.833 0.000
-3.059 0.000 5.536


# 12
! YTc2Sb PBE relaxed; values from VASP
! Space-group type: No. 99
! Energy: -7.89 eV per atom
! Raw formation energy: -0.060 eV per atom
&SYSTEM
  ibrav = 0, nat = 4, ntyp = 3
/
ATOMIC_SPECIES
Y 88.91 Y.upf
Tc 98.00 Tc.upf
Sb 121.76 Sb.upf
ATOMIC_POSITIONS crystal
Y 0.000 0.000 0.000
Tc 0.000 0.000 0.560
Tc 0.500 0.500 0.746
Sb 0.500 0.500 0.337
CELL_PARAMETERS angstrom
3.179 0.000 0.000
0.000 3.179 0.000
0.000 0.000 7.829